No. 1
# Nd4GeOs PBE-GGA relaxed
# **Raw total energy**: -6.17 eV/atom
# **Magnetic moment**: 0.000 μB per formula unit
# **Volume**: 28.73 Å³ per atom
# **DFT formation energy**: -0.346 eV per atom
data_Nd4GeOs
_chemical_formula_sum 'Nd16 Ge4 Os4'
_space_group_name_H-M_alt 'C 1 2/c 1'
_space_group_IT_number 15
_space_group_name_Hall '-C 2yc'
_cell_length_a 9.0935
_cell_length_b 13.6700
_cell_length_c 6.3965
_cell_angle_alpha 90.00
_cell_angle_beta 119.86
_cell_angle_gamma 90.00
loop_
_atom_site_label
_atom_site_fract_x
_atom_site_fract_y
_atom_site_fract_z
Nd1 0.1197 0.1777 0.0853
Nd2 0.2094 0.4353 0.3027
Ge1 0.0000 0.3702 0.7500
Os1 0.0000 0.0011 0.7500



No. 2
# Nd2Ge5Os PBE-GGA relaxed
# **Raw total energy**: -5.82 eV/atom
# **Magnetic moment**: 0.000 μB per formula unit
# **Volume**: 21.60 Å³ per atom
# **DFT formation energy**: -0.335 eV per atom
data_Nd2Ge5Os
_chemical_formula_sum 'Nd4 Ge10 Os2'
_space_group_name_H-M_alt 'I 4 m m'
_space_group_IT_number 107
_space_group_name_Hall 'I 4 -2'
_cell_length_a 6.1681
_cell_length_b 6.1681
_cell_length_c 9.0831
_cell_angle_alpha 90.00
_cell_angle_beta 90.00
_cell_angle_gamma 90.00
loop_
_atom_site_label
_atom_site_fract_x
_atom_site_fract_y
_atom_site_fract_z
Nd1 0.0000 0.5000 0.0000
Ge1 0.0000 0.0000 0.4552
Ge2 0.2152 0.2152 0.2408
Os1 0.0000 0.0000 0.7205



No. 3
# Nd3Ge2Os PBE-GGA relaxed
# **Raw total energy**: -6.38 eV/atom
# **Magnetic moment**: 0.000 μB per formula unit
# **Volume**: 25.40 Å³ per atom
# **DFT formation energy**: -0.588 eV per atom
data_Nd3Ge2Os
_chemical_formula_sum 'Nd12 Ge8 Os4'
_space_group_name_H-M_alt 'P n m a'
_space_group_IT_number 62
_space_group_name_Hall '-P 2ac 2n'
_cell_length_a 12.1623
_cell_length_b 4.3020
_cell_length_c 11.6489
_cell_angle_alpha 90.00
_cell_angle_beta 90.00
_cell_angle_gamma 90.00
loop_
_atom_site_label
_atom_site_fract_x
_atom_site_fract_y
_atom_site_fract_z
Nd1 0.0561 0.2500 0.1272
Nd2 0.1191 0.7500 0.5558
Nd3 0.2214 0.2500 0.7971
Ge1 0.0192 0.7500 0.3111
Ge2 0.1931 0.7500 0.9950
Os1 0.1295 0.2500 0.3703



No. 4
# Nd3Ge7Os2 PBE-GGA relaxed
# **Raw total energy**: -6.29 eV/atom
# **Magnetic moment**: 0.000 μB per formula unit
# **Volume**: 20.92 Å³ per atom
# **DFT formation energy**: -0.528 eV per atom
data_Nd3Ge7Os2
_chemical_formula_sum 'Nd3 Ge7 Os2'
_space_group_name_H-M_alt 'P 1 2/m 1'
_space_group_IT_number 10
_space_group_name_Hall '-P 2y'
_cell_length_a 4.4081
_cell_length_b 4.3932
_cell_length_c 13.1513
_cell_angle_alpha 90.00
_cell_angle_beta 99.63
_cell_angle_gamma 90.00
loop_
_atom_site_label
_atom_site_fract_x
_atom_site_fract_y
_atom_site_fract_z
Nd1 0.0000 0.0000 0.0000
Nd2 0.3166 0.5000 0.6336
Ge1 0.0872 0.5000 0.1731
Ge2 0.2212 0.0000 0.4429
Ge3 0.4133 0.0000 0.8273
Ge4 0.5000 0.5000 0.0000
Os1 0.1282 0.0000 0.2560



No. 5
# NdScGe2Os PBE-GGA relaxed
# **Raw total energy**: -6.95 eV/atom
# **Magnetic moment**: 0.000 μB per formula unit
# **Volume**: 19.83 Å³ per atom
# **DFT formation energy**: -0.641 eV per atom
data_NdScGe2Os
_chemical_formula_sum 'Nd2 Sc2 Ge4 Os2'
_space_group_name_H-M_alt 'I -4 m 2'
_space_group_IT_number 119
_space_group_name_Hall 'I -4 -2'
_cell_length_a 4.1165
_cell_length_b 4.1165
_cell_length_c 11.7024
_cell_angle_alpha 90.00
_cell_angle_beta 90.00
_cell_angle_gamma 90.00
loop_
_atom_site_label
_atom_site_fract_x
_atom_site_fract_y
_atom_site_fract_z
Nd1 0.0000 0.0000 0.0000
Sc1 0.0000 0.5000 0.2500
Ge1 0.0000 0.0000 0.3914
Os1 0.0000 0.5000 0.7500



No. 6
# NdTcGe2Os PBE-GGA relaxed
# **Raw total energy**: -7.52 eV/atom
# **Magnetic moment**: 0.000 μB per formula unit
# **Volume**: 18.79 Å³ per atom
# **DFT formation energy**: -0.400 eV per atom
data_NdTcGe2Os
_chemical_formula_sum 'Nd2 Tc2 Ge4 Os2'
_space_group_name_H-M_alt 'I -4 m 2'
_space_group_IT_number 119
_space_group_name_Hall 'I -4 -2'
_cell_length_a 4.2529
_cell_length_b 4.2529
_cell_length_c 10.3905
_cell_angle_alpha 90.00
_cell_angle_beta 90.00
_cell_angle_gamma 90.00
loop_
_atom_site_label
_atom_site_fract_x
_atom_site_fract_y
_atom_site_fract_z
Nd1 0.0000 0.0000 0.0000
Tc1 0.0000 0.5000 0.2500
Ge1 0.0000 0.0000 0.3734
Os1 0.0000 0.5000 0.7500



No. 7
# Nd4GeP3 PBE-GGA relaxed
# **Raw total energy**: -6.28 eV/atom
# **Magnetic moment**: 0.000 μB per formula unit
# **Volume**: 26.13 Å³ per atom
# **DFT formation energy**: -1.293 eV per atom
data_Nd4GeP3
_chemical_formula_sum 'Nd4 Ge1 P3'
_space_group_name_H-M_alt 'P m -3 m'
_space_group_IT_number 221
_space_group_name_Hall '-P 4 2 3'
_cell_length_a 5.9347
_cell_length_b 5.9347
_cell_length_c 5.9347
_cell_angle_alpha 90.00
_cell_angle_beta 90.00
_cell_angle_gamma 90.00
loop_
_atom_site_label
_atom_site_fract_x
_atom_site_fract_y
_atom_site_fract_z
Nd1 0.0000 0.0000 0.0000
Nd2 0.0000 0.5000 0.5000
Ge1 0.5000 0.5000 0.5000
P1 0.0000 0.0000 0.5000



No. 8
# Nd6GeP5 PBE-GGA relaxed
# **Raw total energy**: -6.40 eV/atom
# **Magnetic moment**: 0.000 μB per formula unit
# **Volume**: 25.90 Å³ per atom
# **DFT formation energy**: -1.375 eV per atom
data_Nd6GeP5
_chemical_formula_sum 'Nd12 Ge2 P10'
_space_group_name_H-M_alt 'C 1 2/m 1'
_space_group_IT_number 12
_space_group_name_Hall '-C 2y'
_cell_length_a 7.2586
_cell_length_b 12.5715
_cell_length_c 7.2305
_cell_angle_alpha 90.00
_cell_angle_beta 109.56
_cell_angle_gamma 90.00
loop_
_atom_site_label
_atom_site_fract_x
_atom_site_fract_y
_atom_site_fract_z
Nd1 0.2436 0.0000 0.2543
Nd2 0.2452 0.1706 0.7474
Ge1 0.0000 0.5000 0.0000
P1 0.0000 0.0000 0.5000
P2 0.0000 0.1664 0.0000
P3 0.0000 0.3337 0.5000



No. 9
# NdGeP PBE-GGA relaxed
# **Raw total energy**: -5.73 eV/atom
# **Magnetic moment**: 0.000 μB per formula unit
# **Volume**: 25.47 Å³ per atom
# **DFT formation energy**: -0.797 eV per atom
data_NdGeP
_chemical_formula_sum 'Nd4 Ge4 P4'
_space_group_name_H-M_alt 'C 1 2/m 1'
_space_group_IT_number 12
_space_group_name_Hall '-C 2y'
_cell_length_a 8.5388
_cell_length_b 4.9194
_cell_length_c 7.8150
_cell_angle_alpha 90.00
_cell_angle_beta 111.40
_cell_angle_gamma 90.00
loop_
_atom_site_label
_atom_site_fract_x
_atom_site_fract_y
_atom_site_fract_z
Nd1 0.0929 0.0000 0.2800
Ge1 0.1681 0.5000 0.0037
P1 0.2238 0.0000 0.6712



No. 10
# Nd2GeP PBE-GGA relaxed
# **Raw total energy**: -6.09 eV/atom
# **Magnetic moment**: 0.000 μB per formula unit
# **Offset from the most stable computed form**: 0 meV per atom
# **Volume**: 25.74 Å³ per atom
# **DFT formation energy**: -1.200 eV per atom
data_Nd2GeP
_chemical_formula_sum 'Nd8 Ge4 P4'
_space_group_name_H-M_alt 'C m c m'
_space_group_IT_number 63
_space_group_name_Hall '-C 2c 2'
_cell_length_a 4.3169
_cell_length_b 23.2907
_cell_length_c 4.0960
_cell_angle_alpha 90.00
_cell_angle_beta 90.00
_cell_angle_gamma 90.00
loop_
_atom_site_label
_atom_site_fract_x
_atom_site_fract_y
_atom_site_fract_z
Nd1 0.0000 0.0676 0.2500
Nd2 0.0000 0.3111 0.2500
Ge1 0.0000 0.4614 0.2500
P1 0.0000 0.1883 0.2500



No. 11
# Nd3GeP PBE-GGA relaxed
# **Raw total energy**: -5.81 eV/atom
# **Magnetic moment**: 0.000 μB per formula unit
# **Volume**: 27.80 Å³ per atom
# **DFT formation energy**: -0.944 eV per atom
data_Nd3GeP
_chemical_formula_sum 'Nd6 Ge2 P2'
_space_group_name_H-M_alt 'P 1 21/m 1'
_space_group_IT_number 11
_space_group_name_Hall '-P 2yb'
_cell_length_a 6.8376
_cell_length_b 4.3583
_cell_length_c 9.3286
_cell_angle_alpha 90.00
_cell_angle_beta 90.02
_cell_angle_gamma 90.00
loop_
_atom_site_label
_atom_site_fract_x
_atom_site_fract_y
_atom_site_fract_z
Nd1 0.0170 0.2500 0.1656
Nd2 0.2500 0.2500 0.5686
Nd3 0.4833 0.2500 0.1655
Ge1 0.2505 0.7500 0.3552
P1 0.2499 0.2500 0.8956



No. 12
# Nd2GeP PBE-GGA relaxed
# **Raw total energy**: -5.99 eV/atom
# **Magnetic moment**: 0.000 μB per formula unit
# **Offset from the most stable computed form**: 102 meV per atom
# **Volume**: 26.70 Å³ per atom
# **DFT formation energy**: -1.098 eV per atom
data_Nd2GeP
_chemical_formula_sum 'Nd6 Ge3 P3'
_space_group_name_H-M_alt 'R -3 m'
_space_group_IT_number 166
_space_group_name_Hall '-R 3 2"'
_cell_length_a 4.1220
_cell_length_b 4.1220
_cell_length_c 21.7739
_cell_angle_alpha 90.00
_cell_angle_beta 90.00
_cell_angle_gamma 120.00
loop_
_atom_site_label
_atom_site_fract_x
_atom_site_fract_y
_atom_site_fract_z
Nd1 0.0000 0.0000 0.2442
Ge1 0.0000 0.0000 0.0000
P1 0.0000 0.0000 0.5000